# 1
Here is a geometry-optimized Li4PuBi5 structure from the Alexandria database. Energies are from PBE.

Volume = 25.5 Å³/atom
Fermi-level density of states = 10.990 states/eV/f.u.
Crystal system = monoclinic
ΔE_f = -0.298 eV per atom

a b c (Å): 3.4876 3.4876 26.2027
angles (deg): 109.43 109.42 60.01
With the nearest neighbours (Å) after each atom.
Fractional coordinates of all 10 atoms:
Li (0.0192, 0.0201, 0.2135)  6 Bi 3.03-3.14
Li (0.0047, 0.0059, 0.4041)  6 Bi 3.07-3.09
Li (0.9953, 0.9942, 0.5960)  6 Bi 3.07-3.09
Li (0.9808, 0.9799, 0.7865)  6 Bi 3.03-3.14
Pu (0.0000, 0.9999, 0.0000)  6 Bi 3.42, 6 Pu 3.49
Bi (0.5225, 0.5230, 0.1142)  3 Li 3.13-3.14, 3 Pu 3.42, 6 Bi 3.49
Bi (0.5092, 0.5103, 0.3073)  6 Li 3.03-3.09
Bi (0.5000, 0.5000, 0.5000)  6 Li 3.07-3.08
Bi (0.4908, 0.4898, 0.6927)  6 Li 3.03-3.09
Bi (0.4775, 0.4769, 0.8858)  3 Li 3.13-3.14, 3 Pu 3.42, 6 Bi 3.49


# 2
Here is a geometry-optimized LiPu2Bi structure from the Alexandria database. Energies are from PBE.

Volume = 24.9 Å³/atom
Fermi-level density of states = 10.636 states/eV/f.u.
Crystal system = tetragonal
ΔE_f = -0.207 eV per atom

a b c (Å): 5.0586 4.4348 4.4348
angles (deg): 90.00 90.00 90.00
With the nearest neighbours (Å) after each atom.
Fractional coordinates of all 4 atoms:
Li (0.5000, 0.0000, 0.0000)  4 Bi 3.14, 8 Pu 3.36
Bi (0.5000, 0.5000, 0.5000)  4 Li 3.14, 8 Pu 3.36
Pu (0.0000, 0.0000, 0.5000)  4 Pu 3.14, 4 Bi 3.36, 4 Li 3.36
Pu (0.0000, 0.5000, 0.0000)  4 Pu 3.14, 4 Bi 3.36, 4 Li 3.36


# 3
Here is a geometry-optimized LiPuBi2 structure from the Alexandria database. Energies are from PBE.

Volume = 27.7 Å³/atom
Fermi-level density of states = 12.477 states/eV/f.u.
Crystal system = trigonal
ΔE_f = -0.280 eV per atom
Energy above the lowest structure with this stoichiometry = 0.098 eV/atom

a b c (Å): 5.1172 5.1172 5.7118
angles (deg): 63.39 63.39 60.00
With the nearest neighbours (Å) after each atom.
Fractional coordinates of all 4 atoms:
Li (0.0000, 0.0000, 0.0000)  6 Bi 3.16
Bi (0.2560, 0.2560, 0.2321)  3 Li 3.16, 3 Pu 3.23
Bi (0.7440, 0.7440, 0.7679)  3 Li 3.16, 3 Pu 3.23
Pu (0.5000, 0.5000, 0.5000)  8 Bi 3.23-3.58


# 4
Here is a geometry-optimized Li2PuBi4 structure from the Alexandria database. Energies are from PBE.

Volume = 28.5 Å³/atom
Fermi-level density of states = 7.479 states/eV/f.u.
Crystal system = tetragonal
ΔE_f = -0.268 eV per atom

a b c (Å): 6.3731 6.3731 6.3731
angles (deg): 109.45 109.48 109.48
With the nearest neighbours (Å) after each atom.
Fractional coordinates of all 7 atoms:
Li (0.5000, 0.5000, 0.0000)  8 Bi 3.19
Li (0.5000, 0.0000, 0.5000)  8 Bi 3.19
Pu (0.0000, 0.0000, 0.0000)  8 Bi 3.19
Bi (0.5000, 0.0000, 0.0000)  2 Pu 3.19, 4 Li 3.19
Bi (0.5000, 0.5000, 0.5000)  2 Pu 3.19, 4 Li 3.19
Bi (0.0000, 0.0000, 0.5000)  4 Li 3.19, 2 Pu 3.19
Bi (0.0000, 0.5000, 0.0000)  4 Li 3.19, 2 Pu 3.19


# 5
Here is a geometry-optimized LiPuBi3 structure from the Alexandria database. Energies are from PBE.

Volume = 30.8 Å³/atom
Fermi-level density of states = 14.640 states/eV/f.u.
Crystal system = orthorhombic
ΔE_f = -0.193 eV per atom

a b c (Å): 5.4897 9.0691 9.0691
angles (deg): 136.97 90.00 90.00
With the nearest neighbours (Å) after each atom.
Fractional coordinates of all 10 atoms:
Li (0.0000, 0.0000, 0.0000)  2 Li 2.74, 6 Bi 3.00-3.05
Li (0.5000, 0.0000, 0.0000)  2 Li 2.74, 6 Bi 3.00-3.05
Pu (0.2500, 0.2938, 0.7062)  10 Bi 3.41-3.54
Pu (0.7500, 0.7062, 0.2938)  10 Bi 3.41-3.54
Bi (0.2500, 0.8383, 0.1617)  2 Li 3.05, 4 Bi 3.33, 2 Pu 3.41
Bi (0.7500, 0.1617, 0.8383)  2 Li 3.05, 4 Bi 3.33, 2 Pu 3.41
Bi (0.2500, 0.8557, 0.6177)  2 Li 3.00, 3 Bi 3.15-3.33
Bi (0.7500, 0.1443, 0.3823)  2 Li 3.00, 3 Bi 3.15-3.33
Bi (0.2500, 0.3823, 0.1443)  2 Li 3.00, 3 Bi 3.15-3.33
Bi (0.7500, 0.6177, 0.8557)  2 Li 3.00, 3 Bi 3.15-3.33


# 6
Here is a geometry-optimized LiPuBi2 structure from the Alexandria database. Energies are from PBE.

Volume = 26.9 Å³/atom
Fermi-level density of states = 8.299 states/eV/f.u.
Crystal system = tetragonal
ΔE_f = -0.355 eV per atom
Energy above the lowest structure with this stoichiometry = 0.024 eV/atom

a b c (Å): 3.4455 3.4455 9.0795
angles (deg): 90.00 90.00 90.00
With the nearest neighbours (Å) after each atom.
Fractional coordinates of all 4 atoms:
Li (0.5000, 0.5000, 0.0000)  8 Bi 3.23, 4 Li 3.45
Bi (0.0000, 0.0000, 0.7662)  4 Li 3.23, 4 Pu 3.43, 4 Bi 3.45
Bi (0.0000, 0.0000, 0.2338)  4 Li 3.23, 4 Pu 3.43, 4 Bi 3.45
Pu (0.5000, 0.5000, 0.5000)  8 Bi 3.43, 4 Pu 3.45


# 7
Here is a geometry-optimized LiPuBi2 structure from the Alexandria database. Energies are from PBE.

Volume = 26.7 Å³/atom
Fermi-level density of states = 14.083 states/eV/f.u.
Crystal system = tetragonal
ΔE_f = -0.379 eV per atom
Energy above the lowest structure with this stoichiometry = 0.000 eV/atom

a b c (Å): 4.5483 4.5483 10.3072
angles (deg): 90.00 90.00 90.00
With the nearest neighbours (Å) after each atom.
Fractional coordinates of all 8 atoms:
Li (0.5000, 0.5000, 0.0000)  4 Bi 2.87, 4 Li 3.22
Li (0.0000, 0.0000, 0.0000)  4 Bi 2.87, 4 Li 3.22
Pu (0.0000, 0.5000, 0.2554)  8 Bi 3.33-3.40, 4 Li 3.48
Pu (0.5000, 0.0000, 0.7446)  8 Bi 3.33-3.40, 4 Li 3.48
Bi (0.5000, 0.0000, 0.1702)  4 Li 2.87
Bi (0.0000, 0.5000, 0.8298)  4 Li 2.87
Bi (0.0000, 0.0000, 0.5000)  4 Bi 3.22, 4 Pu 3.40
Bi (0.5000, 0.5000, 0.5000)  4 Bi 3.22, 4 Pu 3.40


# 8
Here is a geometry-optimized LiPuBi2 structure from the Alexandria database. Energies are from PBE.

Volume = 30.9 Å³/atom
Fermi-level density of states = 15.640 states/eV/f.u.
Crystal system = trigonal
ΔE_f = -0.217 eV per atom
Energy above the lowest structure with this stoichiometry = 0.161 eV/atom

a b c (Å): 4.6341 4.6341 7.1612
angles (deg): 71.12 71.12 60.00
With the nearest neighbours (Å) after each atom.
Fractional coordinates of all 4 atoms:
Li (0.4915, 0.4915, 0.5255)  6 Bi 2.99-3.21
Pu (0.6710, 0.6710, 0.9869)  6 Bi 3.18-3.23
Bi (0.0906, 0.0906, 0.7281)  3 Li 2.99, 1 Bi 3.11, 3 Pu 3.18
Bi (0.2469, 0.2469, 0.2594)  1 Bi 3.11, 3 Li 3.21, 3 Pu 3.23


# 9
Here is a geometry-optimized Li3PuBi3 structure from the Alexandria database. Energies are from PBE.

Volume = 28.4 Å³/atom
Fermi-level density of states = 13.520 states/eV/f.u.
Crystal system = trigonal
ΔE_f = -0.248 eV per atom

a b c (Å): 8.8776 8.8776 7.7623
angles (deg): 55.12 55.12 60.00
With the nearest neighbours (Å) after each atom.
Fractional coordinates of all 14 atoms:
Li (0.3513, 0.8197, 0.7569)  5 Bi 2.96-3.13
Li (0.8197, 0.0721, 0.7569)  5 Bi 2.96-3.13
Li (0.0721, 0.3513, 0.7569)  5 Bi 2.96-3.13
Li (0.9279, 0.6487, 0.2431)  5 Bi 2.96-3.13
Li (0.1803, 0.9279, 0.2431)  5 Bi 2.96-3.13
Li (0.6487, 0.1803, 0.2431)  5 Bi 2.96-3.13
Pu (0.3161, 0.3161, 0.0517)  6 Bi 3.16-3.18, 3 Li 3.43
Pu (0.6839, 0.6839, 0.9483)  6 Bi 3.16-3.18, 3 Li 3.43
Bi (0.3093, 0.5435, 0.2587)  5 Li 2.96-3.13, 2 Pu 3.16-3.18
Bi (0.8884, 0.3093, 0.2587)  5 Li 2.96-3.13, 2 Pu 3.16-3.18
Bi (0.5435, 0.8884, 0.2587)  5 Li 2.96-3.13, 2 Pu 3.16-3.18
Bi (0.4565, 0.1116, 0.7413)  5 Li 2.96-3.13, 2 Pu 3.16-3.18
Bi (0.1116, 0.6907, 0.7413)  5 Li 2.96-3.13, 2 Pu 3.16-3.18
Bi (0.6907, 0.4565, 0.7413)  5 Li 2.96-3.13, 2 Pu 3.16-3.18


# 10
Here is a geometry-optimized LiPu8Bi6 structure from the Alexandria database. Energies are from PBE.

Volume = 25.6 Å³/atom
Fermi-level density of states = 39.530 states/eV/f.u.
Crystal system = trigonal
ΔE_f = 0.009 eV per atom

a b c (Å): 6.6506 6.6506 10.7173
angles (deg): 71.92 71.92 60.00
With the nearest neighbours (Å) after each atom.
Fractional coordinates of all 15 atoms:
Li (0.0000, 0.0000, 0.0000)  6 Bi 3.10
Pu (0.5127, 0.1833, 0.4548)  3 Pu 2.39-2.40
Pu (0.8167, 0.1508, 0.5452)  3 Pu 2.39-2.40
Pu (0.1508, 0.4873, 0.5452)  3 Pu 2.39-2.40
Pu (0.6671, 0.6671, 0.9987)  6 Bi 3.20-3.21
Pu (0.3329, 0.3329, 0.0013)  6 Bi 3.20-3.21
Pu (0.8492, 0.5127, 0.4548)  3 Pu 2.39-2.40
Pu (0.1833, 0.8492, 0.4548)  3 Pu 2.39-2.40
Pu (0.4873, 0.8167, 0.5452)  3 Pu 2.39-2.40
Bi (0.3937, 0.0769, 0.7738)  1 Li 3.10, 6 Pu 3.16-3.24
Bi (0.9231, 0.2444, 0.2262)  1 Li 3.10, 6 Pu 3.16-3.24
Bi (0.2444, 0.6063, 0.2262)  1 Li 3.10, 6 Pu 3.16-3.24
Bi (0.7556, 0.3937, 0.7738)  1 Li 3.10, 6 Pu 3.16-3.24
Bi (0.0769, 0.7556, 0.7738)  1 Li 3.10, 6 Pu 3.16-3.24
Bi (0.6063, 0.9231, 0.2262)  1 Li 3.10, 6 Pu 3.16-3.24